(1)
LiDyCl2 | Alexandria | PBE-GGA | optimized geometry; uncorrected formation energy = -6.015 eV per formula unit; energy = -4.056 eV/atom
1.0
3.749 0.000 0.000
1.874 3.247 0.000
1.874 1.082 8.061
Cl Li Dy
2 1 1
Cartesian
1.874 1.082 5.432
5.623 3.247 2.630
3.749 2.164 4.031
0.000 0.000 0.000


(2)
Li2DyCl6 | Alexandria | PBE-GGA | optimized geometry; uncorrected formation energy = -14.970 eV per formula unit; energy = -3.831 eV/atom
1.0
-3.651 -1.114 -1.553
-2.238 -5.316 3.608
-6.276 2.292 7.641
Li Dy Cl
2 1 6
Cartesian
-7.688 -2.278 8.772
-4.476 -1.861 0.924
-4.257 -1.512 5.624
-10.060 -2.257 8.866
-2.105 -1.881 0.830
-6.988 -4.978 3.598
-6.612 -2.589 6.465
-5.176 0.839 6.098
-5.553 -1.550 3.231


(3)
Li3DyCl6 | Alexandria | PBE-GGA | optimized geometry; uncorrected formation energy = -19.587 eV per formula unit; energy = -4.101 eV/atom
1.0
7.797 -0.025 -0.194
-0.198 7.795 -0.194
-0.025 -0.025 7.800
Li Dy Cl
6 2 12
Cartesian
3.229 7.190 5.616
7.063 5.842 3.107
1.806 4.357 0.419
5.769 3.388 6.993
0.512 1.902 4.305
4.345 0.554 1.797
0.000 0.000 0.000
3.787 3.872 3.706
2.263 7.166 0.515
0.423 7.022 5.161
4.604 6.331 3.206
6.906 5.323 0.311
3.340 4.743 6.156
1.319 4.300 2.879
6.256 3.444 4.533
4.235 3.001 1.256
0.669 2.422 7.101
2.971 1.414 4.206
7.151 0.723 2.251
5.312 0.579 6.897